Material: Ta2Be2Pt
Method: DFT, GGA-PBEsol
State: optimized geometry

- symmetry = P4/mbm, No. 127
- formation enthalpy at 0 K (eV per atom) = -0.526
- crystal system = tetragonal

abc: 3.6542 5.9616 5.9616
angles: 90.00 90.00 90.00
With the nearest neighbours (Å) after each atom.
Positions (direct):
Be  0.0000  0.3731  0.8731  1 Be 2.14, 2 Pt 2.35
Be  0.0000  0.8731  0.6269  1 Be 2.14, 2 Pt 2.35
Be  0.0000  0.6269  0.1269  1 Be 2.14, 2 Pt 2.35
Be  0.0000  0.1269  0.3731  1 Be 2.14, 2 Pt 2.35
Pt  0.0000  0.0000  0.0000  4 Be 2.35
Pt  0.0000  0.5000  0.5000  4 Be 2.35
Ta  0.5000  0.1713  0.6713  6 Be 2.50-2.56
Ta  0.5000  0.6713  0.8287  6 Be 2.50-2.56
Ta  0.5000  0.8287  0.3287  6 Be 2.50-2.56
Ta  0.5000  0.3287  0.1713  6 Be 2.50-2.56

Material: TaBe2Pt
Method: DFT, GGA-PBEsol
State: optimized geometry

- symmetry = Imm2, No. 44
- formation enthalpy at 0 K (eV per atom) = -0.228
- crystal system = orthorhombic

abc: 2.8434 4.0538 4.9219
angles: 114.32 106.79 90.00
With the nearest neighbours (Å) after each atom.
Positions (direct):
Be  0.9696  0.9696  0.9393  2 Be 2.22
Be  0.2685  0.7685  0.5369  2 Be 2.22, 4 Ta 2.49
Pt  0.5203  0.5203  0.0406  6 Be 2.51-2.55, 4 Ta 2.76-2.77
Ta  0.7416  0.2416  0.4831  6 Be 2.49-2.72, 4 Pt 2.76-2.77

Material: TaBeTe2Pt
Method: DFT, GGA-PBEsol
State: optimized geometry

- symmetry = P4/mmm, No. 123
- ΔE_f (raw) (meV per atom) = 1089
- crystal system = tetragonal

abc: 4.4383 5.1793 5.1793
angles: 90.00 90.00 90.00
With the nearest neighbours (Å) after each atom.
Positions (direct):
Be  0.5000  0.0000  0.0000  2 Ta 2.22
Te  0.0000  0.0000  0.5000  2 Ta 2.59
Te  0.0000  0.5000  0.0000  2 Ta 2.59
Pt  0.5000  0.5000  0.5000  8 Te 3.41, 4 Be 3.66
Ta  0.0000  0.0000  0.0000  2 Be 2.22

Material: BeTcPt4
Method: DFT, GGA-PBEsol
State: optimized geometry

- symmetry = F-43m, No. 216
- formation enthalpy at 0 K (eV per atom) = 0.474
- crystal system = cubic

abc: 5.1314 5.1314 5.1314
angles: 60.00 60.00 60.00
With the nearest neighbours (Å) after each atom.
Positions (direct):
Be  0.0000  0.0000  0.0000  12 Pt 3.01, 4 Tc 3.14
Pt  0.3749  0.3749  0.3749  6 Pt 2.56-2.57
Pt  0.3749  0.3749  0.8753  6 Pt 2.56-2.57
Pt  0.8753  0.3749  0.3749  6 Pt 2.56-2.57
Pt  0.3749  0.8753  0.3749  6 Pt 2.56-2.57
Tc  0.7500  0.7500  0.7500  12 Pt 3.01, 4 Be 3.14

Material: BeTc2Pt
Method: DFT, GGA-PBEsol
State: optimized geometry

- symmetry = R-3m, No. 166
- formation enthalpy at 0 K (eV per atom) = 0.084
- crystal system = trigonal

abc: 2.6743 2.6743 8.6196
angles: 81.08 81.08 60.00
With the nearest neighbours (Å) after each atom.
Positions (direct):
Be  0.5000  0.5000  0.5000  6 Tc 2.51, 6 Be 2.67
Tc  0.2445  0.2445  0.2666  3 Be 2.51, 6 Tc 2.67, 3 Pt 2.74
Tc  0.7555  0.7555  0.7334  3 Be 2.51, 6 Tc 2.67, 3 Pt 2.74
Pt  0.0000  0.0000  0.0000  6 Pt 2.67, 6 Tc 2.74

Material: Be3TePt
Method: DFT, GGA-PBEsol
State: optimized geometry

- symmetry = Pm-3m, No. 221
- ΔE_f (raw) (meV per atom) = 272
- crystal system = cubic

abc: 4.3395 4.3395 4.3395
angles: 90.00 90.00 90.00
With the nearest neighbours (Å) after each atom.
Positions (direct):
Be  0.0000  0.5000  0.0000  2 Pt 2.17
Be  0.0000  0.0000  0.5000  2 Pt 2.17
Be  0.5000  0.0000  0.0000  2 Pt 2.17
Te  0.5000  0.5000  0.5000  12 Be 3.07
Pt  0.0000  0.0000  0.0000  6 Be 2.17

Material: BeTePt4
Method: DFT, GGA-PBEsol
State: optimized geometry

- symmetry = F-43m, No. 216
- ΔE_f (raw) (meV per atom) = 297
- crystal system = cubic

abc: 5.2393 5.2393 5.2393
angles: 60.00 60.00 60.00
With the nearest neighbours (Å) after each atom.
Positions (direct):
Be  0.0000  0.0000  0.0000  12 Pt 3.07, 4 Te 3.21
Pt  0.6253  0.6253  0.1241  6 Pt 2.61-2.63
Pt  0.1241  0.6253  0.6253  6 Pt 2.61-2.63
Pt  0.6253  0.1241  0.6253  6 Pt 2.61-2.63
Pt  0.6253  0.6253  0.6253  6 Pt 2.61-2.63
Te  0.2500  0.2500  0.2500  12 Pt 3.07, 4 Be 3.21

Material: Be2TePt
Method: DFT, GGA-PBEsol
State: optimized geometry

- symmetry = I4/mmm, No. 139
- ΔE_f (raw) (meV per atom) = 208
- crystal system = tetragonal

abc: 3.9502 3.9502 4.6360
angles: 115.22 115.22 90.00
With the nearest neighbours (Å) after each atom.
Positions (direct):
Be  0.7500  0.2500  0.5000  4 Te 2.71, 4 Pt 2.71, 4 Be 2.79
Be  0.2500  0.7500  0.5000  4 Te 2.71, 4 Pt 2.71, 4 Be 2.79
Te  0.0000  0.0000  0.0000  8 Be 2.71, 4 Pt 2.79
Pt  0.5000  0.5000  0.0000  8 Be 2.71, 4 Te 2.79

Material: BeTePt2
Method: DFT, GGA-PBEsol
State: optimized geometry

- distance to the lowest polymorph of the same formula (meV/atom) = 0
- symmetry = R-3m, No. 166
- ΔE_f (raw) (meV per atom) = -280
- crystal system = trigonal

abc: 3.6654 3.6654 5.9974
angles: 72.21 72.21 60.00
With the nearest neighbours (Å) after each atom.
Positions (direct):
Be  0.0000  0.0000  0.0000  6 Pt 2.31
Te  0.5000  0.5000  0.5000  6 Pt 2.83
Pt  0.2782  0.2782  0.1653  3 Be 2.31
Pt  0.7218  0.7218  0.8347  3 Be 2.31

Material: BeTePt2
Method: DFT, GGA-PBEsol
State: optimized geometry

- distance to the lowest polymorph of the same formula (meV/atom) = 564
- symmetry = F-43m, No. 216
- ΔE_f (raw) (meV per atom) = 283
- crystal system = cubic

abc: 4.4949 4.4949 4.4949
angles: 60.00 60.00 60.00
With the nearest neighbours (Å) after each atom.
Positions (direct):
Be  0.5000  0.5000  0.5000  4 Te 2.75, 4 Pt 2.75
Te  0.7500  0.7500  0.7500  4 Be 2.75, 4 Pt 2.75
Pt  0.0000  0.0000  0.0000  4 Te 2.75, 4 Pt 2.75
Pt  0.2500  0.2500  0.2500  4 Be 2.75, 4 Pt 2.75

Material: TiBe2Pt
Method: DFT, GGA-PBEsol
State: optimized geometry

- symmetry = Fm-3m, No. 225
- formation enthalpy at 0 K (eV per atom) = -0.590
- crystal system = cubic

abc: 4.0110 4.0110 4.0110
angles: 60.00 60.00 60.00
With the nearest neighbours (Å) after each atom.
Positions (direct):
Be  0.2500  0.2500  0.2500  4 Pt 2.46, 4 Ti 2.46
Be  0.7500  0.7500  0.7500  4 Ti 2.46, 4 Pt 2.46
Pt  0.5000  0.5000  0.5000  8 Be 2.46
Ti  0.0000  0.0000  0.0000  8 Be 2.46

Material: Be2TlPt
Method: DFT, GGA-PBEsol
State: optimized geometry

- distance to the lowest polymorph of the same formula (meV/atom) = 410
- symmetry = F-43m, No. 216
- formation enthalpy at 0 K (eV per atom) = 0.358
- crystal system = cubic

abc: 4.3344 4.3344 4.3344
angles: 60.00 60.00 60.00
With the nearest neighbours (Å) after each atom.
Positions (direct):
Be  0.0000  0.0000  0.0000  4 Tl 2.65, 4 Be 2.65
Be  0.7500  0.7500  0.7500  4 Pt 2.65, 4 Be 2.65
Tl  0.2500  0.2500  0.2500  4 Be 2.65, 4 Pt 2.65
Pt  0.5000  0.5000  0.5000  4 Be 2.65, 4 Tl 2.65

Material: BeTl3Pt
Method: DFT, GGA-PBEsol
State: optimized geometry

- symmetry = Pm-3m, No. 221
- formation enthalpy at 0 K (eV per atom) = 0.606
- crystal system = cubic

abc: 5.2385 5.2385 5.2385
angles: 90.00 90.00 90.00
With the nearest neighbours (Å) after each atom.
Positions (direct):
Be  0.5000  0.5000  0.5000  12 Tl 3.70
Tl  0.0000  0.5000  0.0000  2 Pt 2.62
Tl  0.0000  0.0000  0.5000  2 Pt 2.62
Tl  0.5000  0.0000  0.0000  2 Pt 2.62
Pt  0.0000  0.0000  0.0000  6 Tl 2.62

Material: Be2TlPt
Method: DFT, GGA-PBEsol
State: optimized geometry

- distance to the lowest polymorph of the same formula (meV/atom) = 0
- symmetry = C2/m, No. 12
- formation enthalpy at 0 K (eV per atom) = -0.052
- crystal system = monoclinic

abc: 3.9445 3.9445 5.3301
angles: 70.67 70.68 60.00
With the nearest neighbours (Å) after each atom.
Positions (direct):
Be  0.1762  0.1762  0.9683  3 Pt 2.28, 3 Be 2.30
Be  0.8238  0.8238  0.0317  3 Pt 2.28, 3 Be 2.30
Tl  0.0000  0.0000  0.5000  2 Be 2.62
Pt  0.5000  0.5000  0.0000  6 Be 2.28

Material: Be2TlPt
Method: DFT, GGA-PBEsol
State: optimized geometry

- distance to the lowest polymorph of the same formula (meV/atom) = 184
- symmetry = I4/mmm, No. 139
- formation enthalpy at 0 K (eV per atom) = 0.133
- crystal system = tetragonal

abc: 4.2786 4.2181 4.2181
angles: 60.92 59.52 59.52
With the nearest neighbours (Å) after each atom.
Positions (direct):
Be  0.2497  0.7503  0.7503  4 Tl 2.59-2.60, 4 Pt 2.59-2.60
Be  0.7503  0.2497  0.2497  4 Tl 2.59-2.60, 4 Pt 2.59-2.60
Tl  0.0000  0.5000  0.5000  8 Be 2.59-2.60
Pt  0.5000  0.0000  0.0000  8 Be 2.59-2.60

Material: BePtW2
Method: DFT, GGA-PBEsol
State: optimized geometry

- symmetry = P4/mmm, No. 123
- formation enthalpy at 0 K (eV per atom) = 0.043
- crystal system = tetragonal

abc: 3.6653 3.6653 4.1707
angles: 90.00 90.00 90.00
With the nearest neighbours (Å) after each atom.
Positions (direct):
Be  0.5000  0.5000  0.5000  4 Pt 2.59, 8 W 2.78
W  0.0000  0.5000  0.0000  4 W 2.59, 4 Be 2.78, 4 Pt 2.78
W  0.5000  0.0000  0.0000  4 W 2.59, 4 Be 2.78, 4 Pt 2.78
Pt  0.0000  0.0000  0.5000  4 Be 2.59, 8 W 2.78

Material: BePtW2
Method: DFT, GGA-PBEsol
State: optimized geometry

- symmetry = P4/mmm, No. 123
- formation enthalpy at 0 K (eV per atom) = 0.361
- crystal system = tetragonal

abc: 2.6633 4.6321 4.6321
angles: 90.00 90.00 90.00
With the nearest neighbours (Å) after each atom.
Positions (direct):
Be  0.5000  0.5000  0.5000  2 Be 2.66, 8 W 2.67
W  0.0000  0.0000  0.5000  2 W 2.66, 4 Be 2.67, 4 Pt 2.67
W  0.0000  0.5000  0.0000  2 W 2.66, 4 Be 2.67, 4 Pt 2.67
Pt  0.5000  0.0000  0.0000  2 Pt 2.66, 8 W 2.67

Material: BePtW2
Method: DFT, GGA-PBEsol
State: optimized geometry

- symmetry = Immm, No. 71
- formation enthalpy at 0 K (eV per atom) = -0.054
- crystal system = orthorhombic

abc: 3.2761 4.0190 4.9432
angles: 113.99 109.35 90.00
With the nearest neighbours (Å) after each atom.
Positions (direct):
Be  0.5000  0.0000  0.0000  4 Pt 2.59, 4 W 2.62
W  0.7570  0.7570  0.5140  4 W 2.60, 2 Be 2.62, 4 Pt 2.71-2.87
W  0.2430  0.2430  0.4860  4 W 2.60, 2 Be 2.62, 4 Pt 2.71-2.87
Pt  0.0000  0.5000  0.0000  4 Be 2.59, 8 W 2.71-2.87

Material: BePtW2
Method: DFT, GGA-PBEsol
State: optimized geometry

- symmetry = Cmm2, No. 35
- formation enthalpy at 0 K (eV per atom) = -0.127
- crystal system = orthorhombic

abc: 2.7160 2.7160 7.3350
angles: 90.00 90.00 90.54
With the nearest neighbours (Å) after each atom.
Positions (direct):
Be  0.0000  0.0000  0.4833  4 Pt 2.38-2.39, 4 W 2.54-2.56
W  0.0000  0.0000  0.0150  8 W 2.72-2.94, 4 Pt 2.78-2.79
W  0.5000  0.5000  0.7118  4 Be 2.54-2.56, 4 W 2.72
Pt  0.5000  0.5000  0.2899  4 Be 2.38-2.39

Material: BePt3W
Method: DFT, GGA-PBEsol
State: optimized geometry

- symmetry = Pm-3m, No. 221
- formation enthalpy at 0 K (eV per atom) = 1.652
- crystal system = cubic

abc: 4.7752 4.7752 4.7752
angles: 90.00 90.00 90.00
With the nearest neighbours (Å) after each atom.
Positions (direct):
Be  0.5000  0.5000  0.5000  12 Pt 3.38
W  0.0000  0.0000  0.0000  6 Pt 2.39
Pt  0.0000  0.5000  0.0000  2 W 2.39
Pt  0.0000  0.0000  0.5000  2 W 2.39
Pt  0.5000  0.0000  0.0000  2 W 2.39

Ordered total energy results: -8.539 -7.107 -5.025 -6.712 -8.290 -4.226 -5.600 -4.415 -5.644 -5.080 -6.412 -4.040 -3.165 -4.450 -4.266 -9.602 -9.283 -9.699 -9.771 -6.088; unit eV per atom.
Ordered M_tot results: 0.00 0.00 0.00 3.10 0.00 0.00 0.00 0.00 0.00 0.00 0.23 0.00 0.00 0.00 0.00 0.00 0.00 0.00 0.00 0.00; unit Bohr magnetons per cell.